EuCdNiAg: relaxed, PBE. Values from VASP.

```
&SYSTEM
  ibrav = 0, nat = 4, ntyp = 4
/
ATOMIC_SPECIES
Eu 151.96 Eu.upf
Ni 58.69 Ni.upf
Ag 107.87 Ag.upf
Cd 112.41 Cd.upf
ATOMIC_POSITIONS crystal
Eu 0.500 0.500 0.500
Ni 0.250 0.250 0.250
Ag 0.750 0.750 0.750
Cd 0.000 0.000 0.000
CELL_PARAMETERS angstrom
4.914 0.000 0.000
2.457 4.256 0.000
2.457 1.419 4.012
```

## Properties
* theoretical density: 8.53 g cm⁻³
* calculated total energy: -20.0 eV for the cell shown
* calculated formation energy: -0.05 eV per atom
* volume: 21.0 A^3/atom


YNi2W: relaxed, PBE. Values from VASP.

```
&SYSTEM
  ibrav = 0, nat = 8, ntyp = 3
/
ATOMIC_SPECIES
Y 88.91 Y.upf
Ni 58.69 Ni.upf
W 183.84 W.upf
ATOMIC_POSITIONS crystal
Y 0.500 0.500 0.000
Y 0.250 0.750 0.500
Ni 0.795 0.125 0.250
Ni 0.955 0.625 0.250
Ni 0.375 0.205 0.750
Ni 0.875 0.045 0.750
W 0.000 0.000 0.000
W 0.750 0.250 0.500
CELL_PARAMETERS angstrom
4.551 0.000 0.000
0.000 4.551 0.000
2.275 2.275 7.944
```

## Properties
* theoretical density: 7.88 g cm⁻³
* calculated total energy: -57.1 eV for the cell shown
* calculated formation energy: 0.61 eV per atom
* volume: 20.6 A^3/atom


Q: The lowest calculated formation energy belongs to which entry?
A: EuCdNiAg